*P*
The following is a GGA-PBE calculation of crystalline Pm6Cd2Hg at its relaxed geometry, from the Alexandria database.

For the volume, the calculation gives 614.5 Å³/cell. The value obtained for the magnetic moment is 0.01 μB/atom.

It has space group C2/m (No. 12), with a = 16.515 Å, b = 7.490 Å, c = 5.221 Å, α = 90.00°, β = 107.91° and γ = 90.00°. The asymmetric unit holds Pm at (0.000, 0.248, 0.000), Pm at (0.166, 0.248, 0.666), Cd at (0.166, 0.500, 0.166) and Hg at (0.000, 0.000, 0.500).

=====

*Q*
The following is a GGA-PBE calculation of crystalline Pm6Cd2Hg at its relaxed geometry, from the Alexandria database.

For the volume, the calculation gives 270.5 Å³/cell. The value obtained for the magnetic moment is 0.00 μB/atom.

It has space group P-3m1 (No. 164), with a = 5.4961 Å, b = 5.4961 Å, c = 10.3399 Å, α = 90.00°, β = 90.00° and γ = 120.00°. The asymmetric unit holds Pm at (0.0000, 0.0000, 0.1778), Pm at (0.3333, 0.6667, 0.0205), Pm at (0.3333, 0.6667, 0.3897), Cd at (0.3333, 0.6667, 0.7127) and Hg at (0.0000, 0.0000, 0.5000).

=====

Energies relative to the most stable structure, in meV per atom: *P* 247; *Q* 0.

=====

*P*
The following is a GGA-PBE calculation of crystalline Pm3CdHg4 at its relaxed geometry, from the Alexandria database.

For the volume, the calculation gives 457.8 Å³/cell. The value obtained for the magnetic moment is 0.00 μB/atom.

It has space group Immm (No. 71), with a = 3.708 Å, b = 7.092 Å, c = 17.409 Å, α = 90.00°, β = 90.00° and γ = 90.00°. The asymmetric unit holds Pm at (0.000, 0.000, 0.000), Pm at (0.000, 0.500, 0.219), Cd at (0.000, 0.000, 0.500) and Hg at (0.000, 0.280, 0.375).

=====

*Q*
The following is a GGA-PBE calculation of crystalline Pm3CdHg4 at its relaxed geometry, from the Alexandria database.

For the volume, the calculation gives 635.7 Å³/cell. The value obtained for the magnetic moment is 0.00 μB/atom.

It has space group R-3m (No. 166, hexagonal axes), with a = 5.2206 Å, b = 5.2206 Å, c = 26.9343 Å, α = 90.00°, β = 90.00° and γ = 120.00°. The asymmetric unit holds Pm at (0.0000, 0.0000, 0.0000), Pm at (0.0000, 0.0000, 0.2404), Cd at (0.0000, 0.0000, 0.5000), Hg at (0.0000, 0.0000, 0.1226) and Hg at (0.0000, 0.0000, 0.3704).

=====

Energies relative to the most stable structure, in meV per atom: *P* 120; *Q* 0.

=====

*P*
The following is a GGA-PBE calculation of crystalline PmCd2Hg3 at its relaxed geometry, from the Alexandria database.

For the volume, the calculation gives 601.8 Å³/cell. The value obtained for the magnetic moment is 0.00 μB/atom.

It has space group C2/m (No. 12), with a = 15.432 Å, b = 4.806 Å, c = 9.348 Å, α = 90.00°, β = 119.77° and γ = 90.00°. The asymmetric unit holds Pm at (0.139, 0.000, 0.006), Cd at (0.055, 0.500, 0.177), Cd at (0.210, 0.500, 0.541), Hg at (0.050, 0.000, 0.381), Hg at (0.113, 0.500, 0.756) and Hg at (0.236, 0.000, 0.760).

=====

*Q*
The following is a GGA-PBE calculation of crystalline PmCd2Hg3 at its relaxed geometry, from the Alexandria database.

For the volume, the calculation gives 614.1 Å³/cell. The value obtained for the magnetic moment is 0.00 μB/atom.

It has space group Cmcm (No. 63), with a = 6.517 Å, b = 16.429 Å, c = 5.736 Å, α = 90.00°, β = 90.00° and γ = 90.00°. The asymmetric unit holds Pm at (0.000, 0.166, 0.250), Cd at (0.237, 0.000, 0.000), Hg at (0.000, 0.359, 0.750) and Hg at (0.248, 0.168, 0.750).

=====

Energies relative to the most stable structure, in meV per atom: *P* 0; *Q* 24.

=====

*P*
The following is a GGA-PBE calculation of crystalline PmCdHg at its relaxed geometry, from the Alexandria database.

For the volume, the calculation gives 347.0 Å³/cell. The value obtained for the magnetic moment is 0.00 μB/atom.

It has space group F-43m (No. 216), with a = 7.027 Å, b = 7.027 Å, c = 7.027 Å, α = 90.00°, β = 90.00° and γ = 90.00°. The asymmetric unit holds Pm at (0.000, 0.000, 0.000), Cd at (0.000, 0.000, 0.500) and Hg at (0.250, 0.250, 0.250).

=====

*Q*
The following is a GGA-PBE calculation of crystalline PmCdHg at its relaxed geometry, from the Alexandria database.

For the volume, the calculation gives 158.1 Å³/cell. The value obtained for the magnetic moment is 0.06 μB/atom.

It has space group I4mm (No. 107), with a = 3.853 Å, b = 3.853 Å, c = 10.649 Å, α = 90.00°, β = 90.00° and γ = 90.00°. The asymmetric unit holds Pm at (0.000, 0.000, 0.000), Cd at (0.000, 0.000, 0.324) and Hg at (0.000, 0.000, 0.674).

=====

*R*
The following is a GGA-PBE calculation of crystalline PmCdHg at its relaxed geometry, from the Alexandria database.

For the volume, the calculation gives 312.6 Å³/cell. The value obtained for the magnetic moment is 0.00 μB/atom.

It has space group Cmcm (No. 63), with a = 3.566 Å, b = 17.984 Å, c = 4.874 Å, α = 90.00°, β = 90.00° and γ = 90.00°. The asymmetric unit holds Pm at (0.000, 0.121, 0.250), Cd at (0.000, 0.460, 0.250) and Hg at (0.000, 0.296, 0.250).

=====

Energies relative to the most stable structure, in meV per atom: *P* 56; *Q* 42; *R* 0.

=====

*P*
The following is a GGA-PBE calculation of crystalline PmCdHg at its relaxed geometry, from the Alexandria database.

For the volume, the calculation gives 160.7 Å³/cell. The value obtained for the magnetic moment is 0.00 μB/atom.

It has space group P2_1/m (No. 11), with a = 3.756 Å, b = 3.756 Å, c = 11.392 Å, α = 90.00°, β = 90.07° and γ = 90.00°. The asymmetric unit holds Pm at (0.250, 0.250, 0.112), Cd at (0.250, 0.250, 0.428) and Hg at (0.249, 0.250, 0.723).

=====

*Q*
The following is a GGA-PBE calculation of crystalline PmCdHg at its relaxed geometry, from the Alexandria database.

For the volume, the calculation gives 76.3 Å³/cell. The value obtained for the magnetic moment is 0.00 μB/atom.

It has space group P-6m2 (No. 187), with a = 5.0390 Å, b = 5.0390 Å, c = 3.4678 Å, α = 90.00°, β = 90.00° and γ = 120.00°. The asymmetric unit holds Pm at (0.0000, 0.0000, 0.0000), Cd at (0.3333, 0.6667, 0.5000) and Hg at (0.6667, 0.3333, 0.5000).

=====

Energies relative to the most stable structure, in meV per atom: *P* 213; *Q* 0.

=====

*P*
The following is a GGA-PBE calculation of crystalline Pm8CdHg2 at its relaxed geometry, from the Alexandria database.

For the volume, the calculation gives 678.4 Å³/cell. The value obtained for the magnetic moment is 0.00 μB/atom.

It has space group C2/m (No. 12), with a = 16.558 Å, b = 5.497 Å, c = 8.734 Å, α = 90.00°, β = 121.42° and γ = 90.00°. The asymmetric unit holds Pm at (0.070, 0.000, 0.222), Pm at (0.093, 0.500, 0.951), Pm at (0.138, 0.000, 0.692), Pm at (0.181, 0.500, 0.450), Cd at (0.000, 0.500, 0.500) and Hg at (0.228, 0.000, 0.123).

=====

*Q*
The following is a GGA-PBE calculation of crystalline Pm8CdHg2 at its relaxed geometry, from the Alexandria database.

For the volume, the calculation gives 689.4 Å³/cell. The value obtained for the magnetic moment is 0.00 μB/atom.

It has space group C2/m (No. 12), with a = 18.518 Å, b = 5.287 Å, c = 7.369 Å, α = 90.00°, β = 107.13° and γ = 90.00°. The asymmetric unit holds Pm at (0.025, 0.000, 0.261), Pm at (0.090, 0.500, 0.962), Pm at (0.167, 0.500, 0.463), Pm at (0.193, 0.000, 0.802), Cd at (0.000, 0.500, 0.500) and Hg at (0.186, 0.000, 0.210).

=====

Energies relative to the most stable structure, in meV per atom: *P* 0; *Q* 28.

=====

*P*
The following is a GGA-PBE calculation of crystalline Pm3Cd2Hg3 at its relaxed geometry, from the Alexandria database.

For the volume, the calculation gives 426.2 Å³/cell. The value obtained for the magnetic moment is 0.00 μB/atom.

It has space group Immm (No. 71), with a = 3.947 Å, b = 5.299 Å, c = 20.375 Å, α = 90.00°, β = 90.00° and γ = 90.00°. The asymmetric unit holds Pm at (0.000, 0.000, 0.000), Pm at (0.000, 0.500, 0.134), Cd at (0.000, 0.000, 0.238), Hg at (0.000, 0.000, 0.500) and Hg at (0.000, 0.500, 0.377).

=====

*Q*
The following is a GGA-PBE calculation of crystalline Pm3Cd2Hg3 at its relaxed geometry, from the Alexandria database.

For the volume, the calculation gives 219.2 Å³/cell. The value obtained for the magnetic moment is 0.00 μB/atom.

It has space group P-62m (No. 189), with a = 8.0048 Å, b = 8.0048 Å, c = 3.9502 Å, α = 90.00°, β = 90.00° and γ = 120.00°. The asymmetric unit holds Pm at (0.0000, 0.3693, 0.0000), Cd at (0.3333, 0.6667, 0.5000) and Hg at (0.0000, 0.7506, 0.5000).

=====

Energies relative to the most stable structure, in meV per atom: *P* 0; *Q* 48.

=====

*P*
The following is a GGA-PBE calculation of crystalline Pm4Cd5Hg at its relaxed geometry, from the Alexandria database.

For the volume, the calculation gives 270.7 Å³/cell. The value obtained for the magnetic moment is 0.00 μB/atom.

It has space group P4/mmm (No. 123), with a = 3.835 Å, b = 3.835 Å, c = 18.407 Å, α = 90.00°, β = 90.00° and γ = 90.00°. The asymmetric unit holds Pm at (0.000, 0.000, 0.104), Pm at (0.000, 0.000, 0.310), Cd at (0.500, 0.500, 0.000), Cd at (0.500, 0.500, 0.206), Cd at (0.500, 0.500, 0.413) and Hg at (0.000, 0.000, 0.500).

=====

*Q*
The following is a GGA-PBE calculation of crystalline Pm4Cd5Hg at its relaxed geometry, from the Alexandria database.

For the volume, the calculation gives 537.0 Å³/cell. The value obtained for the magnetic moment is 0.00 μB/atom.

It has space group C2/m (No. 12), with a = 16.161 Å, b = 5.187 Å, c = 6.698 Å, α = 90.00°, β = 106.98° and γ = 90.00°. The asymmetric unit holds Pm at (0.096, 0.000, 0.385), Pm at (0.188, 0.500, 0.818), Cd at (0.000, 0.500, 0.000), Cd at (0.097, 0.000, 0.915), Cd at (0.204, 0.500, 0.315) and Hg at (0.000, 0.500, 0.500).

=====

Energies relative to the most stable structure, in meV per atom: *P* 56; *Q* 0.

=====

*P*
The following is a GGA-PBE calculation of crystalline PmCd4Hg at its relaxed geometry, from the Alexandria database.

For the volume, the calculation gives 295.2 Å³/cell. The value obtained for the magnetic moment is 0.00 μB/atom.

It has space group P2_1/m (No. 11), with a = 4.795 Å, b = 7.666 Å, c = 8.030 Å, α = 90.00°, β = 90.67° and γ = 90.00°. The asymmetric unit holds Pm at (0.007, 0.250, 0.351), Cd at (0.006, 0.750, 0.260), Cd at (0.493, 0.049, 0.673), Cd at (0.499, 0.750, 0.938) and Hg at (0.000, 0.000, 0.000).

=====

*Q*
The following is a GGA-PBE calculation of crystalline PmCd4Hg at its relaxed geometry, from the Alexandria database.

For the volume, the calculation gives 596.3 Å³/cell. The value obtained for the magnetic moment is 0.00 μB/atom.

It has space group F-43m (No. 216), with a = 8.417 Å, b = 8.417 Å, c = 8.417 Å, α = 90.00°, β = 90.00° and γ = 90.00°. The asymmetric unit holds Pm at (0.000, 0.000, 0.000), Cd at (0.125, 0.125, 0.375) and Hg at (0.250, 0.250, 0.750).

=====

*R*
The following is a GGA-PBE calculation of crystalline PmCd4Hg at its relaxed geometry, from the Alexandria database.

For the volume, the calculation gives 146.6 Å³/cell. The value obtained for the magnetic moment is 0.00 μB/atom.

It has space group P-1 (No. 2), with a = 5.035 Å, b = 5.132 Å, c = 6.581 Å, α = 97.42°, β = 90.13° and γ = 119.35°. The asymmetric unit holds Pm at (0.000, 0.000, 0.000), Cd at (0.312, 0.625, 0.750), Cd at (0.360, 0.718, 0.253) and Hg at (0.000, 0.000, 0.500).

=====

Energies relative to the most stable structure, in meV per atom: *P* 42; *Q* 125; *R* 0.

=====

*P*
The following is a GGA-PBE calculation of crystalline PmCd4Hg7 at its relaxed geometry, from the Alexandria database.

For the volume, the calculation gives 632.0 Å³/cell. The value obtained for the magnetic moment is 0.00 μB/atom.

It has space group C2/m (No. 12), with a = 12.515 Å, b = 6.224 Å, c = 9.502 Å, α = 90.00°, β = 121.36° and γ = 90.00°. The asymmetric unit holds Pm at (0.000, 0.000, 0.000), Cd at (0.001, 0.500, 0.328), Cd at (0.247, 0.500, 0.327), Hg at (0.000, 0.500, 0.000), Hg at (0.004, 0.000, 0.342), Hg at (0.237, 0.500, 0.654) and Hg at (0.248, 0.500, 0.002).

=====

*Q*
The following is a GGA-PBE calculation of crystalline PmCd4Hg7 at its relaxed geometry, from the Alexandria database.

For the volume, the calculation gives 297.2 Å³/cell. The value obtained for the magnetic moment is 0.00 μB/atom.

It has space group P-1 (No. 2), with a = 5.954 Å, b = 6.532 Å, c = 7.964 Å, α = 102.18°, β = 93.51° and γ = 99.44°. The asymmetric unit holds Pm at (0.000, 0.000, 0.000), Cd at (0.229, 0.252, 0.686), Cd at (0.324, 0.424, 0.340), Hg at (0.000, 0.500, 0.000), Hg at (0.178, 0.736, 0.650), Hg at (0.291, 0.934, 0.340) and Hg at (0.479, 0.752, 0.989).

=====

Energies relative to the most stable structure, in meV per atom: *P* 67; *Q* 0.

=====

*P*
The following is a GGA-PBE calculation of crystalline PmCd6Hg2 at its relaxed geometry, from the Alexandria database.

For the volume, the calculation gives 428.9 Å³/cell. The value obtained for the magnetic moment is 0.00 μB/atom.

It has space group C2/m (No. 12), with a = 8.718 Å, b = 5.028 Å, c = 9.785 Å, α = 90.00°, β = 90.08° and γ = 90.00°. The asymmetric unit holds Pm at (0.000, 0.000, 0.000), Cd at (0.001, 0.000, 0.340), Cd at (0.167, 0.500, 0.196), Cd at (0.167, 0.500, 0.523) and Hg at (0.166, 0.500, 0.849).

=====

*Q*
The following is a GGA-PBE calculation of crystalline PmCd6Hg2 at its relaxed geometry, from the Alexandria database.

For the volume, the calculation gives 435.6 Å³/cell. The value obtained for the magnetic moment is 0.01 μB/atom.

It has space group C2/m (No. 12), with a = 15.580 Å, b = 8.918 Å, c = 3.201 Å, α = 90.00°, β = 101.62° and γ = 90.00°. The asymmetric unit holds Pm at (0.000, 0.000, 0.000), Cd at (0.000, 0.329, 0.500), Cd at (0.174, 0.170, 0.677) and Hg at (0.151, 0.500, 0.160).

=====

Energies relative to the most stable structure, in meV per atom: *P* 0; *Q* 59.